## LiNiS2 (PBE-GGA)

Data for a geometry-optimized LiNiS2 structure.

a b c (Å): 3.026 3.026 23.088
angles (deg): 90.00 90.00 120.00
Fractional coordinates of all 12 atoms:
Li 0.000 0.000 0.000
Li 0.333 0.667 0.667
Li 0.667 0.333 0.333
Ni 0.000 0.000 0.500
Ni 0.333 0.667 0.167
Ni 0.667 0.333 0.833
S 0.000 0.000 0.409
S 0.000 0.000 0.591
S 0.333 0.667 0.076
S 0.333 0.667 0.257
S 0.667 0.333 0.743
S 0.667 0.333 0.924

The space group is R-3m. Its total DFT energy (no corrections) is -49.17 eV per cell.

=====

## LiNi3S (PBE-GGA)

Data for a geometry-optimized LiNi3S structure.

a b c (Å): 4.136 4.136 4.136
angles (deg): 90.00 90.00 90.00
Fractional coordinates of all 5 atoms:
Li 0.000 0.000 0.000
Ni 0.000 0.500 0.500
Ni 0.500 0.000 0.500
Ni 0.500 0.500 0.000
S 0.500 0.500 0.500

The space group is Pm-3m. The energy above the lowest structure with this stoichiometry is 0.000 eV/f.u.

=====

## LiNi2S2 (PBE-GGA)

Data for a geometry-optimized LiNi2S2 structure.

a b c (Å): 4.345 4.345 7.880
angles (deg): 90.00 90.00 90.00
Fractional coordinates of all 10 atoms:
Li 0.000 0.000 0.000
Li 0.500 0.500 0.500
Ni 0.000 0.000 0.331
Ni 0.000 0.000 0.669
Ni 0.500 0.500 0.169
Ni 0.500 0.500 0.831
S 0.000 0.500 0.250
S 0.000 0.500 0.750
S 0.500 0.000 0.250
S 0.500 0.000 0.750

The space group is I4/mmm. The energy above the lowest structure with this stoichiometry is 1.248 eV/f.u.

=====

## LiNiS3 (PBE-GGA)

Data for a geometry-optimized LiNiS3 structure.

a b c (Å): 4.474 4.474 4.474
angles (deg): 90.00 90.00 90.00
Fractional coordinates of all 5 atoms:
Li 0.000 0.000 0.000
Ni 0.500 0.500 0.500
S 0.000 0.500 0.500
S 0.500 0.000 0.500
S 0.500 0.500 0.000

The space group is Pm-3m. The energy above the lowest structure with this stoichiometry is 0.000 eV/f.u.

=====

## Li3NiS (PBE-GGA)

Data for a geometry-optimized Li3NiS structure.

a b c (Å): 4.433 4.433 4.433
angles (deg): 90.00 90.00 90.00
Fractional coordinates of all 5 atoms:
Li 0.000 0.000 0.500
Li 0.000 0.500 0.000
Li 0.500 0.000 0.000
Ni 0.000 0.000 0.000
S 0.500 0.500 0.500

The space group is Pm-3m. Its total DFT energy (no corrections) is -14.86 eV per cell.

=====

## Li2NiS2 (PBE-GGA)

Data for a geometry-optimized Li2NiS2 structure.

a b c (Å): 6.182 6.182 3.727
angles (deg): 90.00 90.00 90.00
Fractional coordinates of all 10 atoms:
Li 0.147 0.353 0.000
Li 0.353 0.853 0.000
Li 0.647 0.147 0.000
Li 0.853 0.647 0.000
Ni 0.000 0.000 0.500
Ni 0.500 0.500 0.500
S 0.173 0.673 0.500
S 0.327 0.173 0.500
S 0.673 0.827 0.500
S 0.827 0.327 0.500

The space group is P4/mbm. Its total DFT energy (no corrections) is -42.96 eV per cell.

=====

## Li2NiS2 (PBE-GGA)

Data for a geometry-optimized Li2NiS2 structure.

a b c (Å): 3.441 3.441 12.248
angles (deg): 90.00 90.00 90.00
Fractional coordinates of all 10 atoms:
Li 0.000 0.500 0.250
Li 0.000 0.500 0.750
Li 0.500 0.000 0.250
Li 0.500 0.000 0.750
Ni 0.000 0.000 0.000
Ni 0.500 0.500 0.500
S 0.000 0.000 0.383
S 0.000 0.000 0.617
S 0.500 0.500 0.117
S 0.500 0.500 0.883

The space group is I4/mmm. Its total DFT energy (no corrections) is -38.04 eV per cell.

=====

## LiNi2S2 (PBE-GGA)

Data for a geometry-optimized LiNi2S2 structure.

a b c (Å): 6.040 6.622 3.455
angles (deg): 90.00 90.00 90.00
Fractional coordinates of all 10 atoms:
Li 0.000 0.000 0.000
Li 0.500 0.500 0.500
Ni 0.142 0.363 0.000
Ni 0.358 0.863 0.500
Ni 0.642 0.137 0.500
Ni 0.858 0.637 0.000
S 0.226 0.689 0.000
S 0.274 0.189 0.500
S 0.726 0.811 0.500
S 0.774 0.311 0.000

The space group is Pnnm. The energy above the lowest structure with this stoichiometry is 0.000 eV/f.u.

=====

## LiNiS2 (PBE-GGA)

Data for a geometry-optimized LiNiS2 structure.

a b c (Å): 6.030 6.030 6.030
angles (deg): 90.00 90.00 90.00
Fractional coordinates of all 16 atoms:
Li 0.000 0.000 0.000
Li 0.000 0.500 0.500
Li 0.500 0.000 0.500
Li 0.500 0.500 0.000
Ni 0.000 0.000 0.500
Ni 0.000 0.500 0.000
Ni 0.500 0.000 0.000
Ni 0.500 0.500 0.500
S 0.250 0.250 0.250
S 0.250 0.250 0.750
S 0.250 0.750 0.250
S 0.250 0.750 0.750
S 0.750 0.250 0.250
S 0.750 0.250 0.750
S 0.750 0.750 0.250
S 0.750 0.750 0.750

The space group is Fm-3m. Its total DFT energy (no corrections) is -66.19 eV per cell.

=====

## Li2NiS8 (PBE-GGA)

Data for a geometry-optimized Li2NiS8 structure.

a b c (Å): 4.732 6.792 8.184
angles (deg): 100.37 100.91 102.65
Fractional coordinates of all 11 atoms:
Li 0.235 0.366 0.186
Li 0.765 0.634 0.814
Ni 0.000 0.500 0.500
S 0.043 0.232 0.857
S 0.133 0.213 0.421
S 0.204 0.983 0.790
S 0.209 0.497 0.765
S 0.791 0.503 0.235
S 0.796 0.017 0.210
S 0.867 0.787 0.579
S 0.957 0.768 0.143

The space group is P-1. Its total DFT energy (no corrections) is -46.11 eV per cell.

=====

## LiNi2S2 (PBE-GGA)

Data for a geometry-optimized LiNi2S2 structure.

a b c (Å): 6.543 6.543 3.050
angles (deg): 90.00 90.00 90.00
Fractional coordinates of all 10 atoms:
Li 0.000 0.000 0.000
Li 0.500 0.500 0.000
Ni 0.143 0.357 0.500
Ni 0.357 0.857 0.500
Ni 0.643 0.143 0.500
Ni 0.857 0.643 0.500
S 0.170 0.670 0.000
S 0.330 0.170 0.000
S 0.670 0.830 0.000
S 0.830 0.330 0.000

The space group is P4/mbm. The energy above the lowest structure with this stoichiometry is 1.728 eV/f.u.

=====

## LiNi3S (PBE-GGA)

Data for a geometry-optimized LiNi3S structure.

a b c (Å): 3.978 3.978 3.978
angles (deg): 90.00 90.00 90.00
Fractional coordinates of all 5 atoms:
Li 0.000 0.000 0.000
Ni 0.000 0.000 0.500
Ni 0.000 0.500 0.000
Ni 0.500 0.000 0.000
S 0.500 0.500 0.500

The space group is Pm-3m. The energy above the lowest structure with this stoichiometry is 5.047 eV/f.u.

=====

## LiNiS2 (PBE-GGA)

Data for a geometry-optimized LiNiS2 structure.

a b c (Å): 3.425 3.425 20.934
angles (deg): 90.00 90.00 120.00
Fractional coordinates of all 12 atoms:
Li 0.000 0.000 0.000
Li 0.333 0.667 0.667
Li 0.667 0.333 0.333
Ni 0.000 0.000 0.500
Ni 0.333 0.667 0.167
Ni 0.667 0.333 0.833
S 0.000 0.000 0.110
S 0.000 0.000 0.890
S 0.333 0.667 0.557
S 0.333 0.667 0.776
S 0.667 0.333 0.224
S 0.667 0.333 0.443

The space group is R-3m. Its total DFT energy (no corrections) is -52.99 eV per cell.

=====

## LiNi2S2 (PBE-GGA)

Data for a geometry-optimized LiNi2S2 structure.

a b c (Å): 3.694 3.694 11.058
angles (deg): 90.00 90.00 90.00
Fractional coordinates of all 10 atoms:
Li 0.000 0.000 0.000
Li 0.500 0.500 0.500
Ni 0.000 0.500 0.250
Ni 0.000 0.500 0.750
Ni 0.500 0.000 0.250
Ni 0.500 0.000 0.750
S 0.000 0.000 0.365
S 0.000 0.000 0.635
S 0.500 0.500 0.135
S 0.500 0.500 0.865

The space group is I4/mmm. The energy above the lowest structure with this stoichiometry is 0.726 eV/f.u.

=====

## LiNiS2 (PBE-GGA)

Data for a geometry-optimized LiNiS2 structure.

a b c (Å): 3.426 3.426 5.770
angles (deg): 90.00 90.00 120.00
Fractional coordinates of all 4 atoms:
Li 0.000 0.000 0.000
Ni 0.000 0.000 0.500
S 0.333 0.667 0.711
S 0.667 0.333 0.289

The space group is P-3m1. Its total DFT energy (no corrections) is -18.42 eV per cell.

=====

## Li4NiSn3S8 (PBE-GGA)

Data for a geometry-optimized Li4NiSn3S8 structure.

a b c (Å): 7.587 7.587 7.448
angles (deg): 118.67 118.67 57.80
Fractional coordinates of all 16 atoms:
Li 0.000 0.000 0.000
Li 0.000 0.500 0.000
Li 0.500 0.000 0.000
Li 0.500 0.500 0.000
Ni 0.000 0.000 0.500
Sn 0.000 0.500 0.500
Sn 0.500 0.000 0.500
Sn 0.500 0.500 0.500
S 0.203 0.783 0.711
S 0.217 0.797 0.289
S 0.253 0.253 0.241
S 0.287 0.287 0.786
S 0.713 0.713 0.214
S 0.747 0.747 0.759
S 0.783 0.203 0.711
S 0.797 0.217 0.289

The space group is C2/m. Its total DFT energy (no corrections) is -69.42 eV per cell.

=====

## Li4Ti3NiS8 (PBE-GGA)

Data for a geometry-optimized Li4Ti3NiS8 structure.

a b c (Å): 7.278 7.278 7.278
angles (deg): 57.26 57.26 57.26
Fractional coordinates of all 16 atoms:
Li 0.000 0.000 0.000
Li 0.000 0.500 0.500
Li 0.500 0.000 0.500
Li 0.500 0.500 0.000
Ti 0.000 0.000 0.500
Ti 0.000 0.500 0.000
Ti 0.500 0.000 0.000
Ni 0.500 0.500 0.500
S 0.246 0.246 0.246
S 0.246 0.742 0.742
S 0.258 0.258 0.754
S 0.258 0.754 0.258
S 0.742 0.246 0.742
S 0.742 0.742 0.246
S 0.754 0.258 0.258
S 0.754 0.754 0.754

The space group is R-3m. Its total DFT energy (no corrections) is -89.60 eV per cell.

=====

## LiTiNiS3 (PBE-GGA)

Data for a geometry-optimized LiTiNiS3 structure.

a b c (Å): 7.015 3.462 8.529
angles (deg): 90.00 105.34 90.00
Fractional coordinates of all 12 atoms:
Li 0.215 0.250 0.248
Li 0.785 0.750 0.752
Ti 0.315 0.750 0.827
Ti 0.685 0.250 0.173
Ni 0.096 0.250 0.593
Ni 0.904 0.750 0.407
S 0.083 0.250 0.852
S 0.257 0.750 0.534
S 0.425 0.750 0.141
S 0.575 0.250 0.859
S 0.743 0.250 0.466
S 0.917 0.750 0.148

The space group is P2_1/m. Its total DFT energy (no corrections) is -68.74 eV per cell.

=====

## Li3Ti3NiS8 (PBE-GGA)

Data for a geometry-optimized Li3Ti3NiS8 structure.

a b c (Å): 7.311 7.311 7.311
angles (deg): 56.46 56.46 56.46
Fractional coordinates of all 15 atoms:
Li 0.000 0.500 0.500
Li 0.500 0.000 0.500
Li 0.500 0.500 0.000
Ti 0.000 0.000 0.500
Ti 0.000 0.500 0.000
Ti 0.500 0.000 0.000
Ni 0.500 0.500 0.500
S 0.245 0.245 0.245
S 0.248 0.738 0.738
S 0.262 0.262 0.752
S 0.262 0.752 0.262
S 0.738 0.248 0.738
S 0.738 0.738 0.248
S 0.752 0.262 0.262
S 0.755 0.755 0.755

The space group is R-3m. Its total DFT energy (no corrections) is -85.92 eV per cell.

=====

## Li2UNiS4 (PBE-GGA)

Data for a geometry-optimized Li2UNiS4 structure.

a b c (Å): 6.217 6.217 12.467
angles (deg): 90.00 90.00 145.32
Fractional coordinates of all 16 atoms:
Li 0.114 0.886 0.554
Li 0.114 0.886 0.946
Li 0.886 0.114 0.054
Li 0.886 0.114 0.446
U 0.397 0.603 0.750
U 0.603 0.397 0.250
Ni 0.335 0.665 0.250
Ni 0.665 0.335 0.750
S 0.063 0.937 0.750
S 0.202 0.798 0.125
S 0.202 0.798 0.375
S 0.500 0.500 0.000
S 0.500 0.500 0.500
S 0.798 0.202 0.625
S 0.798 0.202 0.875
S 0.937 0.063 0.250

The space group is Cmcm. Its total DFT energy (no corrections) is -91.45 eV per cell.

=====

## Li3UNi2S6 (PBE-GGA)

Data for a geometry-optimized Li3UNi2S6 structure.

a b c (Å): 6.054 6.054 6.484
angles (deg): 98.97 98.97 119.96
Fractional coordinates of all 12 atoms:
Li 0.000 0.000 0.000
Li 0.337 0.663 0.000
Li 0.663 0.337 0.000
U 0.500 0.500 0.500
Ni 0.167 0.833 0.500
Ni 0.833 0.167 0.500
S 0.068 0.422 0.268
S 0.224 0.224 0.733
S 0.422 0.068 0.268
S 0.578 0.932 0.732
S 0.776 0.776 0.267
S 0.932 0.578 0.732

The space group is C2/m. Its total DFT energy (no corrections) is -64.76 eV per cell.

=====

## LiUNi2S4 (PBE-GGA)

Data for a geometry-optimized LiUNi2S4 structure.

a b c (Å): 6.176 6.179 6.872
angles (deg): 90.00 90.00 90.00
Fractional coordinates of all 16 atoms:
Li 0.000 0.000 0.000
Li 0.500 0.500 0.500
U 0.000 0.000 0.500
U 0.500 0.500 0.000
Ni 0.000 0.500 0.257
Ni 0.000 0.500 0.743
Ni 0.500 0.000 0.243
Ni 0.500 0.000 0.757
S 0.214 0.215 0.803
S 0.214 0.785 0.197
S 0.286 0.285 0.303
S 0.286 0.715 0.697
S 0.714 0.285 0.697
S 0.714 0.715 0.303
S 0.786 0.215 0.197
S 0.786 0.785 0.803

The space group is I222. Its total DFT energy (no corrections) is -95.82 eV per cell.

=====

## LiUNiS4 (PBE-GGA)

Data for a geometry-optimized LiUNiS4 structure.

a b c (Å): 6.375 5.518 8.053
angles (deg): 90.00 92.55 90.00
Fractional coordinates of all 14 atoms:
Li 0.079 0.250 0.142
Li 0.921 0.750 0.858
U 0.267 0.250 0.565
U 0.733 0.750 0.435
Ni 0.197 0.750 0.335
Ni 0.803 0.250 0.665
S 0.084 0.250 0.841
S 0.109 0.750 0.592
S 0.429 0.021 0.284
S 0.429 0.479 0.284
S 0.571 0.521 0.716
S 0.571 0.979 0.716
S 0.891 0.250 0.408
S 0.916 0.750 0.159

The space group is P2_1/m. Its total DFT energy (no corrections) is -84.50 eV per cell.

=====

We obtain size of the total moment values of 2.13, 0.00, 0.00, 0.00, 0.88, 0.00, 4.00, 0.00, 5.52, 0.00, 0.00, 1.07, 0.03, 0.00, 0.00, 0.00, 1.54, 0.00, 2.10, 1.10, 1.36, 3.37, 0.48 Bohr magnetons per cell for the records listed above, in that order.